Compound: Sr5MgCd
Source: Alexandria
Functional: PBE
Structure: optimized geometry

- energy relative to the elements (kJ per mole of atoms) = 2.0
- E_tot (eV per cell) = -21.55

a = 7.689 Å, b = 7.689 Å, c = 13.136 Å
α = 76.12°, β = 76.12°, γ = 61.94°
Sites, in units of the cell vectors:
Sr 0.939 0.608 0.147
Sr 0.230 0.518 0.535
Sr 0.608 0.939 0.647
Sr 0.945 0.055 0.250
Sr 0.482 0.770 0.965
Sr 0.518 0.230 0.035
Sr 0.055 0.945 0.750
Sr 0.392 0.061 0.353
Sr 0.770 0.482 0.465
Sr 0.061 0.392 0.853
Mg 0.451 0.549 0.250
Mg 0.549 0.451 0.750
Cd 0.000 0.000 0.000
Cd 0.000 0.000 0.500